# GGA-PBEsol Bi2Ir2Au, optimized geometry
data_Bi2Ir2Au
_space_group_name_H-M_alt 'P 4/m m m'
_space_group_IT_number 123
_space_group_name_Hall '-P 4 2'
_cell_length_a 5.1968
_cell_length_b 5.1968
_cell_length_c 4.8425
_cell_angle_alpha 90.00
_cell_angle_beta 90.00
_cell_angle_gamma 90.00
loop_
_atom_site_label
_atom_site_fract_x
_atom_site_fract_y
_atom_site_fract_z
_atom_site_occupancy
Bi1 0.0000 0.5000 0.0000 1
Ir1 0.0000 0.0000 0.5000 1
Ir2 0.5000 0.5000 0.5000 1
Au1 0.0000 0.0000 0.0000 1
# calculated volume = 130.8 Å³/cell
# density of states at the Fermi level = 7.41 states/eV/f.u.
# ΔH_f (0 K) = 1871.6 meV/atom

# GGA-PBEsol BiIrRu2Au, optimized geometry
data_BiIrRu2Au
_space_group_name_H-M_alt 'P 4/m m m'
_space_group_IT_number 123
_space_group_name_Hall '-P 4 2'
_cell_length_a 4.7751
_cell_length_b 4.7751
_cell_length_c 4.8813
_cell_angle_alpha 90.00
_cell_angle_beta 90.00
_cell_angle_gamma 90.00
loop_
_atom_site_label
_atom_site_fract_x
_atom_site_fract_y
_atom_site_fract_z
_atom_site_occupancy
Bi1 0.0000 0.0000 0.0000 1
Ir1 0.5000 0.5000 0.0000 1
Ru1 0.0000 0.5000 0.5000 1
Au1 0.5000 0.5000 0.5000 1
# calculated volume = 111.3 Å³/cell
# density of states at the Fermi level = 7.87 states/eV/f.u.
# ΔH_f (0 K) = 2011.8 meV/atom

# GGA-PBEsol K2BiAu2, optimized geometry
data_K2BiAu2
_space_group_name_H-M_alt 'P 4/m b m'
_space_group_IT_number 127
_space_group_name_Hall '-P 4 2ab'
_cell_length_a 7.4369
_cell_length_b 7.4369
_cell_length_c 5.1953
_cell_angle_alpha 90.00
_cell_angle_beta 90.00
_cell_angle_gamma 90.00
loop_
_atom_site_label
_atom_site_fract_x
_atom_site_fract_y
_atom_site_fract_z
_atom_site_occupancy
K1 0.1734 0.3266 0.0000 1
Bi1 0.0000 0.0000 0.5000 1
Au1 0.1314 0.6314 0.5000 1
# calculated volume = 287.3 Å³/cell
# density of states at the Fermi level = 1.27 states/eV/f.u.
# ΔH_f (0 K) = -219.7 meV/atom

# GGA-PBEsol KBiAu, optimized geometry
data_KBiAu
_space_group_name_H-M_alt 'P -1'
_space_group_IT_number 2
_cell_length_a 5.7952
_cell_length_b 5.8260
_cell_length_c 6.6484
_cell_angle_alpha 111.20
_cell_angle_beta 109.95
_cell_angle_gamma 96.84
loop_
_space_group_symop_operation_xyz
'x,y,z'
'-x,-y,-z'
loop_
_atom_site_label
_atom_site_fract_x
_atom_site_fract_y
_atom_site_fract_z
_atom_site_occupancy
K1 0.1016 0.3929 0.2460 1
Bi1 0.4855 0.0102 0.7470 1
Au1 0.0000 0.0000 0.5000 1
Au2 0.5000 0.5000 0.0000 1
# calculated volume = 189.0 Å³/cell
# density of states at the Fermi level = 0.39 states/eV/f.u.
# ΔH_f (0 K) = -258.8 meV/atom

Number 1: magnetization 0.121 μB/atom. Number 2: magnetization 0.805 μB/atom. Number 3: magnetization 0.000 μB/atom. Number 4: magnetization 0.000 μB/atom.